# 1
{
  "formula": "RbInCoSn2",
  "functional": "PBE",
  "state": "relaxed",
  "lattice_angstrom": [[5.099, 0.000, 0.000], [0.000, 5.099, 0.000], [0.000, 0.000, 5.145]],
  "species": ["Sn", "Rb", "Sn", "Co", "In"],
  "frac_coords": [[0.500, 0.000, 0.000], [0.500, 0.500, 0.500], [0.000, 0.500, 0.000], [0.000, 0.000, 0.000], [0.000, 0.000, 0.500]],
  "formation_enthalpy_0k_kj_per_mol_atoms": 4.9
}


# 2
{
  "formula": "LaNbI2N",
  "functional": "PBE",
  "state": "relaxed",
  "lattice_angstrom": [[6.392, 0.000, 0.000], [0.000, 6.392, 0.000], [0.000, 0.000, 4.145]],
  "species": ["I", "Nb", "N", "La", "I"],
  "frac_coords": [[0.500, 0.000, 0.000], [0.500, 0.500, 0.500], [0.000, 0.000, 0.500], [0.000, 0.000, 0.000], [0.000, 0.500, 0.000]],
  "formation_energy_uncorrected_ev_per_atom": 0.390,
  "e_above_lowest_polymorph_ev_per_atom": 0.698
}


# 3
{
  "formula": "Ce3Te2I",
  "functional": "PBE",
  "state": "relaxed",
  "lattice_angstrom": [[-3.860, -2.313, -0.799], [1.403, -0.173, -6.181], [4.500, -4.458, 4.182]],
  "species": ["Ce", "Te", "Te", "I", "Ce", "Ce"],
  "frac_coords": [[0.671, 0.674, 0.343], [0.665, 0.168, 0.331], [0.335, 0.832, 0.669], [0.000, 0.500, 0.000], [0.000, 0.000, 0.000], [0.329, 0.326, 0.657]],
  "formation_energy_uncorrected_ev_per_atom": -1.155
}


# 4
{
  "formula": "Th2CuAg",
  "functional": "PBE",
  "state": "relaxed",
  "lattice_angstrom": [[-2.739, -2.217, 0.419], [2.222, -2.535, 1.109], [-0.863, 2.454, 7.336]],
  "species": ["Cu", "Th", "Th", "Ag"],
  "frac_coords": [[0.500, 0.500, 0.000], [0.000, 0.000, 0.231], [0.000, 0.000, 0.769], [0.500, 0.500, 0.500]],
  "formation_enthalpy_0k_kj_per_mol_atoms": -4.0,
  "e_above_lowest_polymorph_ev_per_atom": 0.000
}


# 5
{
  "formula": "NaNbS2N",
  "functional": "PBE",
  "state": "relaxed",
  "lattice_angstrom": [[4.803, 0.000, 0.000], [0.000, 4.803, 0.000], [0.000, 0.000, 3.972]],
  "species": ["Na", "S", "S", "N", "Nb"],
  "frac_coords": [[0.000, 0.000, 0.000], [0.000, 0.500, 0.000], [0.500, 0.000, 0.000], [0.000, 0.000, 0.500], [0.500, 0.500, 0.500]],
  "formation_energy_uncorrected_ev_per_atom": 1.334,
  "e_above_lowest_polymorph_ev_per_atom": 1.801
}


# 6
{
  "formula": "CaVCu",
  "functional": "PBE",
  "state": "relaxed",
  "lattice_angstrom": [[-3.403, 2.061, 7.704], [3.363, -2.263, 1.077], [3.342, 2.241, 1.178]],
  "species": ["V", "V", "Ca", "Ca", "Cu", "Cu"],
  "frac_coords": [[0.100, 0.380, 0.370], [0.036, 0.598, 0.653], [0.805, 0.812, 0.096], [0.410, 0.879, 0.558], [0.626, 0.355, 0.818], [0.171, 0.066, 0.985]],
  "formation_enthalpy_0k_kj_per_mol_atoms": 35.6,
  "e_above_lowest_polymorph_ev_per_atom": 0.118
}